Entry 1:
4
Lattice="5.0496 -0.0017 0.0013 2.0245 4.6260 -0.0013 -3.0909 -2.9947 2.6413" Properties=species:S:1:pos:R:3 comment="SiAgW2 (GGA-PBE, relaxed)" e_form_raw_mev_per_atom=428 pbc="T T T"
Ag 3.4007 2.2230 0.0000
Si 1.2277 1.9667 1.3200
W 0.1051 0.0687 0.0000
W 2.7868 -0.3167 1.3213

---

Entry 2:
4
Lattice="-2.0191 1.7337 1.3263 -1.8598 -0.4205 -2.2816 -2.7033 -5.6278 3.2408" Properties=species:S:1:pos:R:3 comment="SiAgW2 (GGA-PBE, relaxed)" e_form_raw_mev_per_atom=387 pbc="T T T"
Ag -2.6153 -0.7504 0.3326
Si -3.9670 -3.5643 1.9530
W -2.5994 -5.4114 3.1162
W -1.4556 -3.0302 1.7450

---

Entry 3:
8
Lattice="7.1672 0.0000 0.0000 0.0000 7.1672 0.0000 3.5836 3.5836 2.6323" Properties=species:S:1:pos:R:3 comment="SiAgW2 (GGA-PBE, relaxed)" e_form_raw_mev_per_atom=817 pbc="T T T"
Si 3.5836 3.5836 0.0000
Si 3.5836 7.1672 1.3161
Ag 0.0000 0.0000 0.0000
Ag 7.1672 3.5836 1.3161
W 5.1132 1.7918 0.6581
W 2.0540 5.3754 0.6581
W 5.3754 5.6376 1.9742
W 8.9590 8.6968 1.9742

---

Entry 4:
4
Lattice="2.7261 0.0000 0.0000 0.0000 2.7261 0.0000 0.0000 0.0000 8.9650" Properties=species:S:1:pos:R:3 comment="SiAg2W (GGA-PBE, relaxed)" e_form_raw_mev_per_atom=530 pbc="T T T"
Ag 0.0000 0.0000 0.0215
Ag 0.0000 0.0000 4.4610
Si 1.3631 1.3631 2.2412
W 1.3631 1.3631 6.7237

---

Entry 5:
4
Lattice="5.5286 0.0022 -0.0020 2.5311 4.9152 0.0020 -3.2389 -3.7552 2.4442" Properties=species:S:1:pos:R:3 comment="SiAg2W (GGA-PBE, relaxed)" e_form_raw_mev_per_atom=599 pbc="T T T"
Ag 8.0469 4.9096 0.0000
Ag 3.0049 -0.7417 1.2211
Si 4.0012 2.4413 0.0000
W 1.8574 1.9292 1.2231

---

Entry 6:
4
Lattice="9.3712 0.0029 0.0017 8.9337 2.8296 0.0017 8.9337 1.3824 2.4690" Properties=species:S:1:pos:R:3 comment="SiAg2W (GGA-PBE, relaxed)" e_form_raw_mev_per_atom=278 pbc="T T T"
Ag 0.0328 0.0051 0.0030
Ag 6.6767 1.0332 0.6060
Si 13.5525 2.0972 1.2301
W 20.5960 3.1871 1.8694

---

Entry 7:
4
Lattice="-3.4994 -3.2600 0.9791 -2.0268 -4.3073 -1.0823 2.5273 -2.7606 3.2078" Properties=species:S:1:pos:R:3 comment="SiAgW2 (GGA-PBE, relaxed)" e_form_raw_mev_per_atom=459 pbc="T T T"
Ag -1.5309 -5.1644 1.5300
Si -0.7861 -2.6452 0.7823
W -2.9557 -10.2666 3.1042
W -2.2243 -7.7434 2.3449

---

Entry 8:
4
Lattice="9.4219 0.0161 0.0094 8.9933 2.8096 0.0094 8.9933 1.3799 2.4474" Properties=species:S:1:pos:R:3 comment="SiAgW2 (GGA-PBE, relaxed)" e_form_raw_mev_per_atom=368 pbc="T T T"
Ag 13.5928 2.0857 1.2231
Si 20.4806 3.1426 1.8428
W 0.1255 0.0193 0.0113
W 6.9138 1.0609 0.6221

---

Question: Which formula does entry 7 have?
Answer: SiAgW2

---

Question: Number 5 is which compound?
Answer: SiAg2W